Entry 1:
Entry from Alexandria via LeMat-Bulk: Ni3HgI after structural relaxation (PBE-GGA).

Properties
The calculation puts the energy above the most stable polymorph in this dataset at 0.000 eV/atom. Its uncorrected formation energy is 0.917 eV per atom. The value obtained for the density of states at the Fermi level is 7.60 states/eV/cell. The raw total energy comes out at -14.61 eV for the cell shown. Its crystal system is cubic. The volume is 102.2 Å³/f.u.

Cell lengths 4.6760, 4.6760, 4.6760 Å; angles 90.00, 90.00, 90.00 degrees
Space group Pm-3m (No. 221)
One atom of each set of equivalent atoms:
1 Ni 0.0000 0.0000 0.5000 x3
2 Hg 0.5000 0.5000 0.5000 x1
3 I 0.0000 0.0000 0.0000 x1

Entry 2:
Entry from Alexandria via LeMat-Bulk: Sr5Hg3I12 after structural relaxation (PBE-GGA).

Properties
Its uncorrected formation energy is -1.117 eV per atom. The value obtained for the density of states at the Fermi level is 131.62 states/eV/cell. The raw total energy comes out at -402.02 eV for the cell shown. Its crystal system is cubic. The volume is 1018.6 Å³/f.u.

Cell lengths 20.1235, 20.1235, 20.1235 Å; angles 90.00, 90.00, 90.00 degrees
Space group Ia-3d (No. 230)
One atom of each set of equivalent atoms:
1 Sr 0.0000 0.0000 0.0000 x16
2 Sr 0.0000 0.2500 0.3750 x24
3 Hg 0.0000 0.2500 0.1250 x24
4 I 0.0273 0.0675 0.6474 x96

Entry 3:
Entry from Alexandria via LeMat-Bulk: CeTmAlRh after structural relaxation (PBE-GGA).

Properties
The value obtained for the density of states at the Fermi level is 20.59 states/eV/cell. The raw total energy comes out at -93.68 eV for the cell shown. Its crystal system is cubic. The volume is 88.2 Å³/f.u.

Cell lengths 7.0649, 7.0649, 7.0649 Å; angles 90.00, 90.00, 90.00 degrees
Space group F-43m (No. 216)
One atom of each set of equivalent atoms:
1 Ce 0.0000 0.0000 0.0000 x4
2 Tm 0.0000 0.0000 0.5000 x4
3 Al 0.2500 0.2500 0.2500 x4
4 Rh 0.2500 0.2500 0.7500 x4

Entry 4:
Entry from Alexandria via LeMat-Bulk: BaLa2AlRu after structural relaxation (PBE-GGA).

Properties
The value obtained for the density of states at the Fermi level is 4.16 states/eV/cell. The raw total energy comes out at -25.77 eV for the cell shown. Its crystal system is tetragonal. The volume is 159.3 Å³/f.u.

Cell lengths 5.5264, 5.5264, 5.2148 Å; angles 90.00, 90.00, 90.00 degrees
Space group P4/mmm (No. 123)
One atom of each set of equivalent atoms:
1 Ba 0.0000 0.0000 0.0000 x1
2 La 0.0000 0.5000 0.5000 x2
3 Al 0.5000 0.5000 0.0000 x1
4 Ru 0.5000 0.5000 0.5000 x1

Entry 5:
Entry from Alexandria via LeMat-Bulk: LiVInNi after structural relaxation (PBE-GGA).

Properties
The value obtained for the density of states at the Fermi level is 25.40 states/eV/cell. The raw total energy comes out at -78.02 eV for the cell shown. Its crystal system is cubic. The volume is 56.7 Å³/f.u.

Cell lengths 6.0998, 6.0998, 6.0998 Å; angles 90.00, 90.00, 90.00 degrees
Space group F-43m (No. 216)
One atom of each set of equivalent atoms:
1 Li 0.0000 0.0000 0.0000 x4
2 V 0.2500 0.2500 0.7500 x4
3 In 0.2500 0.2500 0.2500 x4
4 Ni 0.0000 0.0000 0.5000 x4

Entry 6:
Entry from Alexandria via LeMat-Bulk: Sm2HoZrS4 after structural relaxation (PBE-GGA).

Properties
Its uncorrected formation energy is -1.836 eV per atom. The value obtained for the density of states at the Fermi level is 3.29 states/eV/cell. The raw total energy comes out at -53.76 eV for the cell shown. Its crystal system is monoclinic. The volume is 167.7 Å³/f.u.

Cell lengths 6.7419, 3.9050, 6.7633 Å; angles 90.00, 109.66, 90.00 degrees
Space group P2/m (No. 10)
One atom of each set of equivalent atoms:
1 Sm 0.0000 0.0000 0.0000 x1
2 Sm 0.5000 0.5000 0.0000 x1
3 Ho 0.0000 0.5000 0.5000 x1
4 Zr 0.5000 0.0000 0.5000 x1
5 S 0.2492 0.0000 0.7353 x2
6 S 0.2596 0.5000 0.2670 x2

Entry 7:
Entry from Alexandria via LeMat-Bulk: CaPrCuPd after structural relaxation (PBE-GGA).

Properties
The calculation puts the energy above the most stable polymorph in this dataset at 0.000 eV/atom. The value obtained for the density of states at the Fermi level is 6.04 states/eV/cell. The raw total energy comes out at -35.82 eV for the cell shown. Its crystal system is orthorhombic. The volume is 97.8 Å³/f.u.

Cell lengths 4.4179, 4.0358, 10.9718 Å; angles 90.00, 90.00, 90.00 degrees
Space group Amm2 (No. 38)
One atom of each set of equivalent atoms:
1 Ca 0.0000 0.0000 0.0000 x2
2 Pr 0.5000 0.0000 0.7224 x2
3 Cu 0.5000 0.0000 0.4309 x2
4 Pd 0.0000 0.0000 0.2856 x2

Entry 8:
Entry from Alexandria via LeMat-Bulk: ThMgAl after structural relaxation (PBE-GGA).

Properties
The value obtained for the density of states at the Fermi level is 6.09 states/eV/cell. The raw total energy comes out at -25.89 eV for the cell shown. Its crystal system is tetragonal. The volume is 73.5 Å³/f.u.

Cell lengths 3.4058, 3.4058, 12.6790 Å; angles 90.00, 90.00, 90.00 degrees
Space group I4mm (No. 107)
One atom of each set of equivalent atoms:
1 Th 0.0000 0.0000 0.0000 x2
2 Mg 0.0000 0.0000 0.3008 x2
3 Al 0.0000 0.0000 0.6685 x2

Entry 9:
Entry from Alexandria via LeMat-Bulk: RhN2Cl after structural relaxation (PBE-GGA).

Properties
The calculation puts the energy above the most stable polymorph in this dataset at 0.000 eV/atom. Its uncorrected formation energy is 0.911 eV per atom. The value obtained for the density of states at the Fermi level is 10.37 states/eV/cell. The raw total energy comes out at -66.62 eV for the cell shown. Its crystal system is trigonal. The volume is 50.7 Å³/f.u.

Cell lengths 3.1714, 3.1714, 17.4726 Å; angles 90.00, 90.00, 120.00 degrees
Space group R-3m (No. 166, hexagonal axes)
One atom of each set of equivalent atoms:
1 Rh 0.0000 0.0000 0.0000 x3
2 N 0.0000 0.0000 0.3886 x6
3 Cl 0.0000 0.0000 0.5000 x3

Entry 10:
Entry from Alexandria via LeMat-Bulk: FeTcBr2 after structural relaxation (PBE-GGA).

Properties
The calculation puts the energy above the most stable polymorph in this dataset at 0.802 eV/atom. Its uncorrected formation energy is 0.955 eV per atom. The value obtained for the density of states at the Fermi level is 9.49 states/eV/cell. The raw total energy comes out at -36.71 eV for the cell shown. Its crystal system is tetragonal. The volume is 81.6 Å³/f.u.

Cell lengths 3.7422, 3.7422, 11.6524 Å; angles 90.00, 90.00, 90.00 degrees
Space group I-4m2 (No. 119)
One atom of each set of equivalent atoms:
1 Fe 0.0000 0.0000 0.0000 x2
2 Tc 0.0000 0.5000 0.7500 x2
3 Br 0.0000 0.0000 0.5000 x2
4 Br 0.0000 0.5000 0.2500 x2

Entry 11:
Entry from Alexandria via LeMat-Bulk: Li2TbSnS4 after structural relaxation (PBE-GGA).

Properties
Its uncorrected formation energy is -1.270 eV per atom. The value obtained for the density of states at the Fermi level is 1.67 states/eV/cell. The raw total energy comes out at -39.13 eV for the cell shown. Its crystal system is monoclinic. The volume is 162.5 Å³/f.u.

Cell lengths 6.5857, 3.8667, 6.8018 Å; angles 90.00, 110.27, 90.00 degrees
Space group P2/m (No. 10)
One atom of each set of equivalent atoms:
1 Li 0.0000 0.0000 0.0000 x1
2 Li 0.0000 0.5000 0.5000 x1
3 Tb 0.5000 0.0000 0.5000 x1
4 Sn 0.5000 0.5000 0.0000 x1
5 S 0.2444 0.0000 0.7473 x2
6 S 0.2482 0.5000 0.2443 x2

Entry 12:
Entry from Alexandria via LeMat-Bulk: TcPbSeBr2 after structural relaxation (PBE-GGA).

Properties
The calculation puts the energy above the most stable polymorph in this dataset at 0.562 eV/atom. Its uncorrected formation energy is 0.629 eV per atom. The value obtained for the density of states at the Fermi level is 3.51 states/eV/cell. The raw total energy comes out at -17.76 eV for the cell shown. Its crystal system is tetragonal. The volume is 154.8 Å³/f.u.

Cell lengths 5.7760, 5.7760, 4.6404 Å; angles 90.00, 90.00, 90.00 degrees
Space group P4/mmm (No. 123)
One atom of each set of equivalent atoms:
1 Tc 0.0000 0.0000 0.0000 x1
2 Pb 0.5000 0.5000 0.0000 x1
3 Se 0.0000 0.0000 0.5000 x1
4 Br 0.0000 0.5000 0.5000 x2